Compound: AcMgCuGe2
Source: the Alexandria database
Functional: GGA-PBE
Structure: relaxed

Cell: 4.3952 4.3952 11.1637 Å, 90.00 90.00 90.00°
Last column: nearest neighbours and their distance in Å.
Space group I-4m2 (No. 119)
Unique sites:
Ac 0.0000 0.0000 0.0000 (multiplicity 2)  8 Ge 3.37, 4 Mg 3.55, 4 Cu 3.55
Mg 0.0000 0.5000 0.2500 (multiplicity 2)  4 Ge 2.65
Cu 0.0000 0.5000 0.7500 (multiplicity 2)  4 Ge 2.65
Ge 0.0000 0.0000 0.3827 (multiplicity 4)  1 Ge 2.62, 2 Mg 2.65, 2 Cu 2.65

Computed properties:
energy of formation from the pure elements: -2.40 eV per formula unit
total magnetization: 0.00 μB per cell
E: -42.9 eV for the cell shown

Compound: Ac3Mg2Cu2Ge4
Source: the Alexandria database
Functional: GGA-PBE
Structure: relaxed

Cell: 4.4668 4.4668 16.1490 Å, 90.00 90.00 120.00°
Last column: nearest neighbours and their distance in Å.
Space group P-3m1 (No. 164)
Unique sites:
Ac 0.0000 0.0000 0.0000 (multiplicity 1)  6 Ge 3.34, 6 Cu 3.38
Ac 0.0000 0.0000 0.2688 (multiplicity 2)  6 Ge 3.18-3.41, 3 Cu 3.36
Mg 0.3333 0.6667 0.5585 (multiplicity 2)  4 Ge 2.74-2.81
Cu 0.3333 0.6667 0.1354 (multiplicity 2)  3 Ge 2.58
Ge 0.3333 0.6667 0.3844 (multiplicity 2)  4 Mg 2.74-2.81
Ge 0.3333 0.6667 0.8690 (multiplicity 2)  3 Cu 2.58

Computed properties:
energy of formation from the pure elements: -5.86 eV per formula unit
total magnetization: 0.00 μB per cell
E: -48.0 eV for the cell shown

Compound: Ac2MnCu3Ge4
Source: the Alexandria database
Functional: GGA-PBE
Structure: relaxed

Cell: 4.3742 4.3742 10.3527 Å, 90.00 90.00 90.00°
Last column: nearest neighbours and their distance in Å.
Space group P-4m2 (No. 115)
Unique sites:
Ac 0.0000 0.5000 0.2463 (multiplicity 2)  6 Cu 3.34-3.42, 8 Ge 3.35-3.36, 2 Mn 3.42
Mn 0.0000 0.0000 0.5000 (multiplicity 1)  4 Ge 2.57
Cu 0.0000 0.5000 0.8754 (multiplicity 2)  5 Ge 2.54
Cu 0.5000 0.5000 0.5000 (multiplicity 1)  4 Ge 2.57
Ge 0.0000 0.0000 0.0000 (multiplicity 1)  4 Cu 2.54
Ge 0.0000 0.5000 0.6299 (multiplicity 2)  3 Cu 2.54-2.57, 2 Mn 2.57
Ge 0.5000 0.5000 0.0000 (multiplicity 1)  4 Cu 2.54

Computed properties:
energy of formation from the pure elements: -4.62 eV per formula unit
total magnetization: 3.98 μB per cell
E: -52.8 eV for the cell shown

Compound: Ac2MnCu4Ge3
Source: the Alexandria database
Functional: GGA-PBE
Structure: relaxed

Cell: 4.3463 4.3463 10.2694 Å, 90.00 90.00 90.00°
Last column: nearest neighbours and their distance in Å.
Space group P-4m2 (No. 115)
Unique sites:
Ac 0.0000 0.5000 0.2440 (multiplicity 2)  6 Ge 3.30-3.41, 8 Cu 3.32-3.34, 2 Mn 3.41
Mn 0.0000 0.0000 0.5000 (multiplicity 1)  4 Cu 2.54
Cu 0.0000 0.0000 0.0000 (multiplicity 1)  4 Ge 2.53
Cu 0.0000 0.5000 0.6286 (multiplicity 2)  3 Ge 2.51-2.54, 2 Mn 2.54
Cu 0.5000 0.5000 0.0000 (multiplicity 1)  4 Ge 2.53
Ge 0.0000 0.5000 0.8734 (multiplicity 2)  5 Cu 2.51-2.53
Ge 0.5000 0.5000 0.5000 (multiplicity 1)  4 Cu 2.54

Computed properties:
energy of formation from the pure elements: -3.50 eV per formula unit
total magnetization: 4.10 μB per cell
E: -51.1 eV for the cell shown

Compound: Ac2CuGeN
Source: the Alexandria database
Functional: GGA-PBE
Structure: relaxed

Cell: 6.9414 4.0868 8.7745 Å, 90.00 107.96 90.00°
Last column: nearest neighbours and their distance in Å.
Space group P2_1/m (No. 11)
Unique sites:
Ac 0.2026 0.2500 0.3868 (multiplicity 2)  2 N 2.78
Ac 0.2180 0.2500 0.9635 (multiplicity 2)  1 N 2.50
Cu 0.4582 0.7500 0.2460 (multiplicity 2)  1 N 1.99
Ge 0.3249 0.7500 0.6978 (multiplicity 2)  2 Cu 2.50
N 0.1570 0.7500 0.1640 (multiplicity 2)  1 Cu 1.99

Computed properties:
uncorrected formation energy: -0.737 eV/atom
total magnetization: 0.00 μB per cell
E: -57.9 eV for the cell shown

Compound: NaAcCuGe
Source: the Alexandria database
Functional: GGA-PBE
Structure: relaxed

Cell: 7.3930 7.3930 7.3930 Å, 90.00 90.00 90.00°
Last column: nearest neighbours and their distance in Å.
Space group F-43m (No. 216)
Unique sites:
Na 0.0000 0.0000 0.0000 (multiplicity 4)  4 Ge 3.20, 4 Cu 3.20
Ac 0.0000 0.0000 0.5000 (multiplicity 4)  4 Ge 3.20, 4 Cu 3.20
Cu 0.2500 0.2500 0.7500 (multiplicity 4)  4 Ac 3.20, 4 Na 3.20
Ge 0.2500 0.2500 0.2500 (multiplicity 4)  4 Ac 3.20, 4 Na 3.20

Computed properties:
energy of formation from the pure elements: -0.61 eV per formula unit
total magnetization: 0.00 μB per cell
E: -59.0 eV for the cell shown

Compound: NaAcCu2Ge2
Source: the Alexandria database
Functional: GGA-PBE
Structure: relaxed

Cell: 4.3757 4.3757 7.4654 Å, 90.00 90.00 120.00°
Last column: nearest neighbours and their distance in Å.
Space group P-3m1 (No. 164)
Unique sites:
Na 0.0000 0.0000 0.0000 (multiplicity 1)  6 Cu 2.89, 6 Ge 2.99
Ac 0.0000 0.0000 0.5000 (multiplicity 1)  6 Ge 3.31, 6 Cu 3.44
Cu 0.3333 0.6667 0.1870 (multiplicity 2)  3 Ge 2.53
Ge 0.3333 0.6667 0.7859 (multiplicity 2)  3 Cu 2.53

Computed properties:
energy of formation from the pure elements: -1.64 eV per formula unit
total magnetization: 0.00 μB per cell
E: -24.5 eV for the cell shown

Compound: NaAc2Cu3Ge4
Source: the Alexandria database
Functional: GGA-PBE
Structure: relaxed

Cell: 4.4534 4.4534 10.5926 Å, 90.00 90.00 90.00°
Last column: nearest neighbours and their distance in Å.
Space group P-4m2 (No. 115)
Unique sites:
Na 0.0000 0.0000 0.0000 (multiplicity 1)  4 Ge 2.74
Ac 0.0000 0.5000 0.7387 (multiplicity 2)  8 Ge 3.36-3.37, 7 Cu 3.41-3.76, 2 Na 3.55
Cu 0.0000 0.5000 0.3837 (multiplicity 2)  5 Ge 2.47-2.54
Cu 0.5000 0.5000 0.0000 (multiplicity 1)  4 Ge 2.74
Ge 0.0000 0.0000 0.5000 (multiplicity 1)  4 Cu 2.54
Ge 0.0000 0.5000 0.1503 (multiplicity 2)  3 Cu 2.47-2.74, 2 Na 2.74
Ge 0.5000 0.5000 0.5000 (multiplicity 1)  4 Cu 2.54

Computed properties:
energy of formation from the pure elements: -3.75 eV per formula unit
total magnetization: 0.00 μB per cell
E: -44.0 eV for the cell shown